Entry 1:
Below is crystalline Ho7Tm3Tl at its relaxed geometry, with properties calculated at the PBE level.

The space group is P3m1 (No. 156) and the conventional cell measures 6.9086, 6.9086 and 8.4359 Å, with angles of 90.00, 90.00 and 120.00 degrees. The inequivalent atoms are Ho at (0.0000, 0.0000, 0.0000), Ho at (0.1633, 0.3267, 0.6640), Ho at (0.5012, 0.0025, 0.9903), Tm at (0.3306, 0.1653, 0.3269) and Tl at (0.6667, 0.3333, 0.6589).

For the total energy, the calculation gives -46.11 eV per cell. As for the density of states at the Fermi level: 15.10 states/eV/cell. The calculated density is 8.885 g/cm³. The value obtained for the volume is 349 Å³/cell. The value obtained for the formation energy is 156 meV/atom.


Entry 2:
Below is crystalline KYHg2Cl8 at its relaxed geometry, with properties calculated at the PBE level.

The space group is P-1 (No. 2) and the conventional cell measures 6.669, 6.794 and 8.905 Å, with angles of 82.11, 75.39 and 87.88 degrees. The inequivalent atoms are K at (0.000, 0.000, 0.000), Y at (0.000, 0.000, 0.500), Hg at (0.469, 0.478, 0.237), Cl at (0.202, 0.821, 0.695), Cl at (0.241, 0.334, 0.478), Cl at (0.252, 0.862, 0.259) and Cl at (0.269, 0.389, 0.986).

For the total energy, the calculation gives -39.26 eV per cell. As for the density of states at the Fermi level: 0.00 states/eV/cell. The formation energy without anion corrections comes out at -1574.6 kJ/mol of formula units. The calculated density is 3.490 g/cm³. The value obtained for the volume is 387 Å³/cell.


Entry 3:
Below is crystalline Rb2LaSi2 at its relaxed geometry, with properties calculated at the PBE level.

The space group is I4/mmm (No. 139) and the conventional cell measures 4.538, 4.538 and 15.361 Å, with angles of 90.00, 90.00 and 90.00 degrees. The inequivalent atoms are Rb at (0.000, 0.500, 0.250), La at (0.000, 0.000, 0.000) and Si at (0.000, 0.000, 0.425).

For the total energy, the calculation gives -34.33 eV per cell. As for the density of states at the Fermi level: 5.39 states/eV/cell. The formation energy without anion corrections comes out at 52.2 kJ/mol of formula units. The calculated density is 3.842 g/cm³. The value obtained for the volume is 316 Å³/cell. As for the energy above the most stable polymorph in this dataset: 0.0000 eV per atom.